A plane-wave DFT calculation with SCAN was carried out for a PBEsol-optimized structure of SrMgB2O5.

Total magnetic moment: 0.001 μB per formula unit
Energy relative to the elements, uncorrected: -288 kJ per mole of atoms

CIF file:
```
data_SrMgB2O5
_chemical_formula_sum 'Sr4 Mg4 B8 O20'
_space_group_name_H-M_alt 'P 1 21/c 1'
_space_group_IT_number 14
_cell_length_a 6.4254
_cell_length_b 5.3387
_cell_length_c 12.0417
_cell_angle_alpha 90.00
_cell_angle_beta 102.33
_cell_angle_gamma 90.00
loop_
_space_group_symop_operation_xyz
'x,y,z'
'-x,-y,-z'
'-x,y+1/2,-z+1/2'
'x,-y+1/2,z+1/2'
loop_
_atom_site_label
_atom_site_fract_x
_atom_site_fract_y
_atom_site_fract_z
_atom_site_occupancy
Sr1 0.1851 0.1100 0.1911 1
Mg1 0.3473 0.5853 0.3944 1
B1 0.1812 0.0904 0.4316 1
B2 0.3556 0.6320 0.1169 1
O1 0.1256 0.1815 0.8828 1
O2 0.1503 0.6236 0.8687 1
O3 0.2827 0.0830 0.5487 1
O4 0.3809 0.5995 0.2305 1
O5 0.3960 0.6485 0.5663 1
```

A plane-wave DFT calculation with SCAN was carried out for a PBEsol-optimized structure of Mg2TiBO5.

Total magnetic moment: 1.001 μB per formula unit
Energy relative to the elements, uncorrected: -290 kJ per mole of atoms

CIF file:
```
data_Mg2TiBO5
_chemical_formula_sum 'Mg8 Ti4 B4 O20'
_space_group_name_H-M_alt 'P b a m'
_space_group_IT_number 55
_cell_length_a 9.3269
_cell_length_b 12.3777
_cell_length_c 3.0016
_cell_angle_alpha 90.00
_cell_angle_beta 90.00
_cell_angle_gamma 90.00
loop_
_space_group_symop_operation_xyz
'x,y,z'
'-x,-y,-z'
'-x,-y,z'
'x,y,-z'
'x+1/2,-y+1/2,-z'
'-x+1/2,y+1/2,z'
'-x+1/2,y+1/2,-z'
'x+1/2,-y+1/2,z'
loop_
_atom_site_label
_atom_site_fract_x
_atom_site_fract_y
_atom_site_fract_z
_atom_site_occupancy
Mg1 0.0000 0.0000 0.0000 1
Mg2 0.0000 0.5000 0.5000 1
Mg3 0.0026 0.2186 0.5000 1
Ti1 0.2407 0.3849 0.0000 1
B1 0.2267 0.6396 0.0000 1
O1 0.1057 0.3573 0.5000 1
O2 0.1155 0.9234 0.5000 1
O3 0.1255 0.1419 0.0000 1
O4 0.1504 0.5426 0.0000 1
O5 0.1502 0.7365 0.0000 1
```

A plane-wave DFT calculation with SCAN was carried out for a PBEsol-optimized structure of MgUB2O7.

Total magnetic moment: 0.000 μB per formula unit
Energy relative to the elements, uncorrected: -285 kJ per mole of atoms

CIF file:
```
data_MgUB2O7
_chemical_formula_sum 'Mg4 U4 B8 O28'
_space_group_name_H-M_alt 'P b c m'
_space_group_IT_number 57
_cell_length_a 7.3242
_cell_length_b 9.7955
_cell_length_c 7.9097
_cell_angle_alpha 90.00
_cell_angle_beta 90.00
_cell_angle_gamma 90.00
loop_
_space_group_symop_operation_xyz
'x,y,z'
'-x,-y,-z'
'-x,-y,z+1/2'
'x,y,-z+1/2'
'x,-y+1/2,-z'
'-x,y+1/2,z'
'-x,y+1/2,-z+1/2'
'x,-y+1/2,z+1/2'
loop_
_atom_site_label
_atom_site_fract_x
_atom_site_fract_y
_atom_site_fract_z
_atom_site_occupancy
Mg1 0.2341 0.0482 0.2500 1
U1 0.2233 0.0516 0.7500 1
B1 0.1299 0.7409 0.2500 1
B2 0.4708 0.7114 0.7500 1
O1 0.0213 0.6290 0.2500 1
O2 0.0724 0.6285 0.7500 1
O3 0.2269 0.0486 0.5184 1
O4 0.3177 0.7024 0.2500 1
O5 0.3570 0.2351 0.2500 1
O6 0.4586 0.5724 0.7500 1
```

A plane-wave DFT calculation with SCAN was carried out for a PBEsol-optimized structure of MgB4Os3.

Energy of formation: -0.273 eV per atom
Total magnetic moment: 0.000 μB per formula unit

CIF file:
```
data_MgB4Os3
_chemical_formula_sum 'Mg4 B16 Os12'
_space_group_name_H-M_alt 'C m c m'
_space_group_IT_number 63
_space_group_name_Hall '-C 2c 2'
_cell_length_a 2.9004
_cell_length_b 11.8251
_cell_length_c 9.7497
_cell_angle_alpha 90.00
_cell_angle_beta 90.00
_cell_angle_gamma 90.00
loop_
_atom_site_label
_atom_site_fract_x
_atom_site_fract_y
_atom_site_fract_z
_atom_site_occupancy
Mg1 0.0000 0.0000 0.0000 1
B1 0.0000 0.1238 0.2500 1
B2 0.0000 0.1542 0.7500 1
B3 0.0000 0.3408 0.1107 1
Os1 0.0000 0.3006 0.6071 1
Os2 0.0000 0.4841 0.2500 1
```

A plane-wave DFT calculation with SCAN was carried out for a PBEsol-optimized structure of Mg2BOs2.

Energy of formation: -0.113 eV per atom
Total magnetic moment: 0.001 μB per formula unit

CIF file:
```
data_Mg2BOs2
_chemical_formula_sum 'Mg4 B2 Os4'
_space_group_name_H-M_alt 'P 4/m b m'
_space_group_IT_number 127
_space_group_name_Hall '-P 4 2ab'
_cell_length_a 5.6812
_cell_length_b 5.6812
_cell_length_c 4.4643
_cell_angle_alpha 90.00
_cell_angle_beta 90.00
_cell_angle_gamma 90.00
loop_
_atom_site_label
_atom_site_fract_x
_atom_site_fract_y
_atom_site_fract_z
_atom_site_occupancy
Mg1 0.1670 0.3330 0.0000 1
B1 0.0000 0.0000 0.5000 1
Os1 0.1540 0.6540 0.5000 1
```

A plane-wave DFT calculation with SCAN was carried out for a PBEsol-optimized structure of Mg2BOsPd.

Energy of formation: 0.087 eV per atom
Total magnetic moment: 0.000 μB per formula unit

CIF file:
```
data_Mg2BOsPd
_chemical_formula_sum 'Mg2 B1 Os1 Pd1'
_space_group_name_H-M_alt 'P 4/m m m'
_space_group_IT_number 123
_space_group_name_Hall '-P 4 2'
_cell_length_a 4.3568
_cell_length_b 4.3568
_cell_length_c 3.9520
_cell_angle_alpha 90.00
_cell_angle_beta 90.00
_cell_angle_gamma 90.00
loop_
_atom_site_label
_atom_site_fract_x
_atom_site_fract_y
_atom_site_fract_z
_atom_site_occupancy
Mg1 0.0000 0.5000 0.0000 1
B1 0.0000 0.0000 0.0000 1
Os1 0.0000 0.0000 0.5000 1
Pd1 0.5000 0.5000 0.5000 1
```

A plane-wave DFT calculation with SCAN was carried out for a PBEsol-optimized structure of YMg2BOs.

Energy of formation: 0.238 eV per atom
Total magnetic moment: 0.000 μB per formula unit

CIF file:
```
data_YMg2BOs
_chemical_formula_sum 'Y1 Mg2 B1 Os1'
_space_group_name_H-M_alt 'P 4/m m m'
_space_group_IT_number 123
_space_group_name_Hall '-P 4 2'
_cell_length_a 4.8704
_cell_length_b 4.8704
_cell_length_c 4.1336
_cell_angle_alpha 90.00
_cell_angle_beta 90.00
_cell_angle_gamma 90.00
loop_
_atom_site_label
_atom_site_fract_x
_atom_site_fract_y
_atom_site_fract_z
_atom_site_occupancy
Y1 0.0000 0.0000 0.0000 1
Mg1 0.0000 0.5000 0.5000 1
B1 0.5000 0.5000 0.0000 1
Os1 0.5000 0.5000 0.5000 1
```

A plane-wave DFT calculation with SCAN was carried out for a PBEsol-optimized structure of MgBP2S.

Total magnetic moment: 0.000 μB per formula unit
Energy relative to the elements, uncorrected: 161 kJ per mole of atoms

CIF file:
```
data_MgBP2S
_chemical_formula_sum 'Mg1 B1 P2 S1'
_space_group_name_H-M_alt 'P 4/m m m'
_space_group_IT_number 123
_space_group_name_Hall '-P 4 2'
_cell_length_a 4.7232
_cell_length_b 4.7232
_cell_length_c 4.6596
_cell_angle_alpha 90.00
_cell_angle_beta 90.00
_cell_angle_gamma 90.00
loop_
_atom_site_label
_atom_site_fract_x
_atom_site_fract_y
_atom_site_fract_z
_atom_site_occupancy
Mg1 0.0000 0.0000 0.0000 1
B1 0.5000 0.5000 0.5000 1
P1 0.0000 0.5000 0.0000 1
S1 0.0000 0.0000 0.5000 1
```